Sm2ErPb3: relaxed, PBE-GGA.

Output
- space-group type = Cmcm
- DOS at the Fermi energy (states/eV/f.u.) = 8.50
- VASP energy (eV/cell) = -54.30
- volume (Å³/atom) = 32.20
- total moment (μB/f.u.) = 0.000
- polymorph energy (0 for the lowest one) (meV per atom) = 124.6
- energy of formation (eV per formula unit) = -2.0

Cell lengths 10.0404, 10.0404, 6.3583 Å; angles 90.00, 90.00, 37.07 degrees
Sites, in units of the cell vectors:
Sm  0.0816  0.5839  0.7500
Sm  0.4161  0.9184  0.7500
Sm  0.5839  0.0816  0.2500
Sm  0.9184  0.4161  0.2500
Er  0.2521  0.7479  0.2500
Er  0.7479  0.2521  0.7500
Pb  0.0868  0.5842  0.2500
Pb  0.2478  0.7522  0.7500
Pb  0.4158  0.9132  0.2500
Pb  0.5842  0.0868  0.7500
Pb  0.7522  0.2478  0.2500
Pb  0.9132  0.4158  0.7500